# Cr2CdRe (PBE, relaxed)
# DOS at the Fermi energy: 1.71 states/eV/f.u.
# Space group: P4/mmm, No. 123
# Raw total energy: -7.839 eV per atom
# E_form: 314 meV per atom
data_Cr2CdRe
_chemical_formula_sum 'Cr2 Cd1 Re1'
_symmetry_space_group_name_H-M 'P 1'
_symmetry_Int_Tables_number 1
_symmetry_space_group_name_Hall 'P 1'
_cell_length_a 3.038
_cell_length_b 3.038
_cell_length_c 6.570
_cell_angle_alpha 90.00
_cell_angle_beta 90.00
_cell_angle_gamma 90.00
loop_
_atom_site_label
_atom_site_type_symbol
_atom_site_fract_x
_atom_site_fract_y
_atom_site_fract_z
_atom_site_occupancy
Cd1 Cd 0.500 0.500 0.750 1
Cr1 Cr 0.000 0.000 0.037 1
Cr2 Cr 0.000 0.000 0.463 1
Re1 Re 0.500 0.500 0.250 1

***

# CrCdRe (PBE, relaxed)
# ΔE to the lowest computed polymorph: 0 meV/atom
# DOS at the Fermi energy: 2.22 states/eV/f.u.
# Space group: I4mm, No. 107
# Raw total energy: -7.293 eV per atom
# E_form: 369 meV per atom
data_CrCdRe
_chemical_formula_sum 'Cr1 Cd1 Re1'
_symmetry_space_group_name_H-M 'P 1'
_symmetry_Int_Tables_number 1
_symmetry_space_group_name_Hall 'P 1'
_cell_length_a 5.638
_cell_length_b 5.638
_cell_length_c 5.638
_cell_angle_alpha 148.85
_cell_angle_beta 148.85
_cell_angle_gamma 44.63
loop_
_atom_site_label
_atom_site_type_symbol
_atom_site_fract_x
_atom_site_fract_y
_atom_site_fract_z
_atom_site_occupancy
Cd1 Cd 0.996 0.996 0.000 1
Cr1 Cr 0.310 0.310 0.000 1
Re1 Re 0.695 0.695 0.000 1

***

# Cr3CdRe (PBE, relaxed)
# ΔE to the lowest computed polymorph: 1068 meV/atom
# DOS at the Fermi energy: 6.41 states/eV/f.u.
# Space group: Pm-3m, No. 221
# Raw total energy: -6.133 eV per atom
# E_form: 2314 meV per atom
data_Cr3CdRe
_chemical_formula_sum 'Cr3 Cd1 Re1'
_symmetry_space_group_name_H-M 'P 1'
_symmetry_Int_Tables_number 1
_symmetry_space_group_name_Hall 'P 1'
_cell_length_a 4.867
_cell_length_b 4.867
_cell_length_c 4.867
_cell_angle_alpha 90.00
_cell_angle_beta 90.00
_cell_angle_gamma 90.00
loop_
_atom_site_label
_atom_site_type_symbol
_atom_site_fract_x
_atom_site_fract_y
_atom_site_fract_z
_atom_site_occupancy
Re1 Re 0.500 0.500 0.500 1
Cr1 Cr 0.000 0.500 0.000 1
Cr2 Cr 0.000 0.000 0.500 1
Cr3 Cr 0.500 0.000 0.000 1
Cd1 Cd 0.000 0.000 0.000 1

***

# Cr2CdRe (PBE, relaxed)
# DOS at the Fermi energy: 3.45 states/eV/f.u.
# Space group: Pm, No. 6
# Raw total energy: -7.683 eV per atom
# E_form: 469 meV per atom
data_Cr2CdRe
_chemical_formula_sum 'Cr2 Cd1 Re1'
_symmetry_space_group_name_H-M 'P 1'
_symmetry_Int_Tables_number 1
_symmetry_space_group_name_Hall 'P 1'
_cell_length_a 3.907
_cell_length_b 2.745
_cell_length_c 5.954
_cell_angle_alpha 70.29
_cell_angle_beta 90.00
_cell_angle_gamma 90.00
loop_
_atom_site_label
_atom_site_type_symbol
_atom_site_fract_x
_atom_site_fract_y
_atom_site_fract_z
_atom_site_occupancy
Cd1 Cd 0.500 0.752 0.758 1
Cr1 Cr 0.000 0.042 0.052 1
Cr2 Cr 0.500 0.236 0.245 1
Re1 Re 0.000 0.470 0.445 1

***

# Cr3CdRe (PBE, relaxed)
# ΔE to the lowest computed polymorph: 0 meV/atom
# DOS at the Fermi energy: 4.17 states/eV/f.u.
# Space group: Pm-3m, No. 221
# Raw total energy: -7.200 eV per atom
# E_form: 1246 meV per atom
data_Cr3CdRe
_chemical_formula_sum 'Cr3 Cd1 Re1'
_symmetry_space_group_name_H-M 'P 1'
_symmetry_Int_Tables_number 1
_symmetry_space_group_name_Hall 'P 1'
_cell_length_a 4.693
_cell_length_b 4.693
_cell_length_c 4.693
_cell_angle_alpha 90.00
_cell_angle_beta 90.00
_cell_angle_gamma 90.00
loop_
_atom_site_label
_atom_site_type_symbol
_atom_site_fract_x
_atom_site_fract_y
_atom_site_fract_z
_atom_site_occupancy
Re1 Re 0.000 0.000 0.000 1
Cr1 Cr 0.000 0.500 0.000 1
Cr2 Cr 0.000 0.000 0.500 1
Cr3 Cr 0.500 0.000 0.000 1
Cd1 Cd 0.500 0.500 0.500 1

***

# CrCdRe4 (PBE, relaxed)
# DOS at the Fermi energy: 4.52 states/eV/f.u.
# Space group: F-43m, No. 216
# Raw total energy: -9.508 eV per atom
# E_form: 547 meV per atom
data_CrCdRe4
_chemical_formula_sum 'Cr1 Cd1 Re4'
_symmetry_space_group_name_H-M 'P 1'
_symmetry_Int_Tables_number 1
_symmetry_space_group_name_Hall 'P 1'
_cell_length_a 5.210
_cell_length_b 5.210
_cell_length_c 5.210
_cell_angle_alpha 60.00
_cell_angle_beta 60.00
_cell_angle_gamma 60.00
loop_
_atom_site_label
_atom_site_type_symbol
_atom_site_fract_x
_atom_site_fract_y
_atom_site_fract_z
_atom_site_occupancy
Cr1 Cr 0.000 0.000 0.000 1
Cd1 Cd 0.750 0.750 0.750 1
Re1 Re 0.875 0.375 0.375 1
Re2 Re 0.375 0.375 0.875 1
Re3 Re 0.375 0.875 0.375 1
Re4 Re 0.375 0.375 0.375 1

***

# CrCdRe3 (PBE, relaxed)
# ΔE to the lowest computed polymorph: 0 meV/atom
# DOS at the Fermi energy: 6.22 states/eV/f.u.
# Space group: Pm-3m, No. 221
# Raw total energy: -8.029 eV per atom
# E_form: 1547 meV per atom
data_CrCdRe3
_chemical_formula_sum 'Cr1 Cd1 Re3'
_symmetry_space_group_name_H-M 'P 1'
_symmetry_Int_Tables_number 1
_symmetry_space_group_name_Hall 'P 1'
_cell_length_a 4.496
_cell_length_b 4.496
_cell_length_c 4.496
_cell_angle_alpha 90.00
_cell_angle_beta 90.00
_cell_angle_gamma 90.00
loop_
_atom_site_label
_atom_site_type_symbol
_atom_site_fract_x
_atom_site_fract_y
_atom_site_fract_z
_atom_site_occupancy
Re1 Re 0.000 0.500 0.000 1
Re2 Re 0.000 0.000 0.500 1
Re3 Re 0.500 0.000 0.000 1
Cr1 Cr 0.000 0.000 0.000 1
Cd1 Cd 0.500 0.500 0.500 1

***

# Cr2CdRe (PBE, relaxed)
# DOS at the Fermi energy: 3.74 states/eV/f.u.
# Space group: C2/m, No. 12
# Raw total energy: -7.604 eV per atom
# E_form: 548 meV per atom
data_Cr2CdRe
_chemical_formula_sum 'Cr2 Cd1 Re1'
_symmetry_space_group_name_H-M 'P 1'
_symmetry_Int_Tables_number 1
_symmetry_space_group_name_Hall 'P 1'
_cell_length_a 4.763
_cell_length_b 4.763
_cell_length_c 5.028
_cell_angle_alpha 82.14
_cell_angle_beta 82.14
_cell_angle_gamma 33.72
loop_
_atom_site_label
_atom_site_type_symbol
_atom_site_fract_x
_atom_site_fract_y
_atom_site_fract_z
_atom_site_occupancy
Cd1 Cd 0.250 0.250 0.250 1
Cr1 Cr 0.006 0.006 0.919 1
Cr2 Cr 0.494 0.494 0.581 1
Re1 Re 0.750 0.750 0.750 1

***

# Cr2CdRe (PBE, relaxed)
# DOS at the Fermi energy: 2.35 states/eV/f.u.
# Space group: F-43m, No. 216
# Raw total energy: -7.529 eV per atom
# E_form: 624 meV per atom
data_Cr2CdRe
_chemical_formula_sum 'Cr2 Cd1 Re1'
_symmetry_space_group_name_H-M 'P 1'
_symmetry_Int_Tables_number 1
_symmetry_space_group_name_Hall 'P 1'
_cell_length_a 4.413
_cell_length_b 4.413
_cell_length_c 4.413
_cell_angle_alpha 60.00
_cell_angle_beta 60.00
_cell_angle_gamma 60.00
loop_
_atom_site_label
_atom_site_type_symbol
_atom_site_fract_x
_atom_site_fract_y
_atom_site_fract_z
_atom_site_occupancy
Cd1 Cd 0.500 0.500 0.500 1
Cr1 Cr 0.000 0.000 0.000 1
Cr2 Cr 0.250 0.250 0.250 1
Re1 Re 0.750 0.750 0.750 1

***

# CrCdRe (PBE, relaxed)
# ΔE to the lowest computed polymorph: 60 meV/atom
# DOS at the Fermi energy: 2.27 states/eV/f.u.
# Space group: Fmm2, No. 42
# Raw total energy: -7.233 eV per atom
# E_form: 429 meV per atom
data_CrCdRe
_chemical_formula_sum 'Cr1 Cd1 Re1'
_symmetry_space_group_name_H-M 'P 1'
_symmetry_Int_Tables_number 1
_symmetry_space_group_name_Hall 'P 1'
_cell_length_a 7.278
_cell_length_b 7.078
_cell_length_c 2.733
_cell_angle_alpha 83.17
_cell_angle_beta 74.94
_cell_angle_gamma 21.89
loop_
_atom_site_label
_atom_site_type_symbol
_atom_site_fract_x
_atom_site_fract_y
_atom_site_fract_z
_atom_site_occupancy
Cd1 Cd 0.996 0.996 0.004 1
Cr1 Cr 0.320 0.320 0.680 1
Re1 Re 0.684 0.684 0.316 1

***

# Cr2CdRe (PBE, relaxed)
# DOS at the Fermi energy: 3.46 states/eV/f.u.
# Space group: Cmmm, No. 65
# Raw total energy: -7.768 eV per atom
# E_form: 384 meV per atom
data_Cr2CdRe
_chemical_formula_sum 'Cr2 Cd1 Re1'
_symmetry_space_group_name_H-M 'P 1'
_symmetry_Int_Tables_number 1
_symmetry_space_group_name_Hall 'P 1'
_cell_length_a 2.677
_cell_length_b 2.677
_cell_length_c 8.792
_cell_angle_alpha 90.00
_cell_angle_beta 90.00
_cell_angle_gamma 110.26
loop_
_atom_site_label
_atom_site_type_symbol
_atom_site_fract_x
_atom_site_fract_y
_atom_site_fract_z
_atom_site_occupancy
Cd1 Cd 0.500 0.500 0.750 1
Cr1 Cr 0.000 0.000 0.023 1
Cr2 Cr 0.000 0.000 0.477 1
Re1 Re 0.500 0.500 0.250 1

***

# CrCdRe2Ru (PBE, relaxed)
# DOS at the Fermi energy: 4.95 states/eV/f.u.
# Space group: P4/mmm, No. 123
# Raw total energy: -7.257 eV per atom
# E_form: 1685 meV per atom
data_CrCdRe2Ru
_chemical_formula_sum 'Cr1 Cd1 Re2 Ru1'
_symmetry_space_group_name_H-M 'P 1'
_symmetry_Int_Tables_number 1
_symmetry_space_group_name_Hall 'P 1'
_cell_length_a 4.709
_cell_length_b 4.622
_cell_length_c 4.709
_cell_angle_alpha 90.00
_cell_angle_beta 90.00
_cell_angle_gamma 90.00
loop_
_atom_site_label
_atom_site_type_symbol
_atom_site_fract_x
_atom_site_fract_y
_atom_site_fract_z
_atom_site_occupancy
Re1 Re 0.000 0.000 0.500 1
Re2 Re 0.500 0.000 0.000 1
Ru1 Ru 0.000 0.000 0.000 1
Cr1 Cr 0.000 0.500 0.000 1
Cd1 Cd 0.500 0.500 0.500 1

***

# VCrCd2Re (PBE, relaxed)
# DOS at the Fermi energy: 9.95 states/eV/f.u.
# Space group: P4/mmm, No. 123
# Raw total energy: -5.004 eV per atom
# E_form: 1600 meV per atom
data_VCrCd2Re
_chemical_formula_sum 'V1 Cr1 Cd2 Re1'
_symmetry_space_group_name_H-M 'P 1'
_symmetry_Int_Tables_number 1
_symmetry_space_group_name_Hall 'P 1'
_cell_length_a 4.935
_cell_length_b 4.362
_cell_length_c 4.935
_cell_angle_alpha 90.00
_cell_angle_beta 90.00
_cell_angle_gamma 90.00
loop_
_atom_site_label
_atom_site_type_symbol
_atom_site_fract_x
_atom_site_fract_y
_atom_site_fract_z
_atom_site_occupancy
Re1 Re 0.000 0.500 0.000 1
V1 V 0.500 0.500 0.500 1
Cr1 Cr 0.000 0.000 0.000 1
Cd1 Cd 0.000 0.000 0.500 1
Cd2 Cd 0.500 0.000 0.000 1

***

# ZnCr2CdRe (PBE, relaxed)
# DOS at the Fermi energy: 2.74 states/eV/f.u.
# Space group: P4/mmm, No. 123
# Raw total energy: -5.711 eV per atom
# E_form: 1065 meV per atom
data_ZnCr2CdRe
_chemical_formula_sum 'Zn1 Cr2 Cd1 Re1'
_symmetry_space_group_name_H-M 'P 1'
_symmetry_Int_Tables_number 1
_symmetry_space_group_name_Hall 'P 1'
_cell_length_a 4.635
_cell_length_b 4.919
_cell_length_c 4.635
_cell_angle_alpha 90.00
_cell_angle_beta 90.00
_cell_angle_gamma 90.00
loop_
_atom_site_label
_atom_site_type_symbol
_atom_site_fract_x
_atom_site_fract_y
_atom_site_fract_z
_atom_site_occupancy
Re1 Re 0.000 0.000 0.000 1
Zn1 Zn 0.000 0.500 0.000 1
Cr1 Cr 0.000 0.000 0.500 1
Cr2 Cr 0.500 0.000 0.000 1
Cd1 Cd 0.500 0.500 0.500 1

***

# CrCd2Rh (PBE, relaxed)
# ΔE to the lowest computed polymorph: 107 meV/atom
# DOS at the Fermi energy: 2.25 states/eV/f.u.
# Space group: C2/m, No. 12
# Raw total energy: -4.519 eV per atom
# E_form: 182 meV per atom
data_CrCd2Rh
_chemical_formula_sum 'Cr1 Cd2 Rh1'
_symmetry_space_group_name_H-M 'P 1'
_symmetry_Int_Tables_number 1
_symmetry_space_group_name_Hall 'P 1'
_cell_length_a 5.068
_cell_length_b 5.068
_cell_length_c 4.839
_cell_angle_alpha 77.11
_cell_angle_beta 77.11
_cell_angle_gamma 35.22
loop_
_atom_site_label
_atom_site_type_symbol
_atom_site_fract_x
_atom_site_fract_y
_atom_site_fract_z
_atom_site_occupancy
Cd1 Cd 0.005 0.005 0.994 1
Cd2 Cd 0.495 0.495 0.506 1
Cr1 Cr 0.250 0.250 0.250 1
Rh1 Rh 0.750 0.750 0.750 1